Ca2Ga5Ir3 | PBE | optimized geometry Values from VASP.

Quantum ESPRESSO input file:
```
&SYSTEM
  ibrav = 0, nat = 20, ntyp = 3
/
ATOMIC_SPECIES
Ga 69.72 Ga.upf
Ir 192.22 Ir.upf
Ca 40.08 Ca.upf
CELL_PARAMETERS angstrom
-2.925 3.094 -0.609
-0.504 -1.786 -6.655
-7.544 -9.509 3.123
ATOMIC_POSITIONS angstrom
Ga -1.215 -1.866 -3.646
Ga -3.718 -1.651 -5.719
Ga -5.402 -2.489 -1.887
Ga -9.599 -5.767 1.622
Ga -8.624 -5.799 -3.229
Ga -5.450 -5.501 -1.768
Ga -5.282 -1.842 0.824
Ga -5.737 -6.295 -4.427
Ga -2.358 -2.431 -1.021
Ga -7.405 -7.080 -0.396
Ir -7.067 -6.279 2.053
Ir -4.180 -3.973 -0.105
Ir -6.751 -4.076 -3.469
Ir -3.678 -1.113 -3.176
Ir -9.765 -6.434 -0.972
Ir -1.441 -2.586 -6.222
Ca -7.432 -4.027 0.049
Ca -9.016 -8.991 -2.368
Ca -1.970 0.748 -1.928
Ca -3.514 -4.075 -3.822
```

**Fermi-level density of states**: 9.92 states/eV per cell
**Energy relative to the elements**: -533 meV/atom
**Theoretical density**: 9100 kg/m³
**Volume**: 18.346 A^3/atom
**Total moment**: 0.0 μB per cell